# 1
This record from Alexandria via LeMat-Bulk describes a relaxed ThIn2Br6 crystal. The functional is PBE.

Lattice parameters (Å, degrees): 7.839 8.362 11.371 90.00 96.58 90.00
Positions (direct):
Br: 0.798 0.680 0.955
Th: 0.500 0.500 0.000
In: 0.961 0.405 0.784
Br: 0.202 0.320 0.045
Br: 0.347 0.559 0.764
Br: 0.163 0.278 0.421
In: 0.461 0.095 0.284
Br: 0.837 0.722 0.579
Br: 0.663 0.222 0.921
Th: 0.000 0.000 0.500
Br: 0.153 0.059 0.736
In: 0.039 0.595 0.216
In: 0.539 0.905 0.716
Br: 0.298 0.820 0.455
Br: 0.847 0.941 0.264
Br: 0.702 0.180 0.545
Br: 0.653 0.441 0.236
Br: 0.337 0.778 0.079

Properties
Formation energy from raw total energies = -123.8 kJ per mole of atoms
Crystal system = monoclinic


# 2
This record from Alexandria via LeMat-Bulk describes a relaxed ThTlInBr6 crystal. The functional is PBE.

Lattice parameters (Å, degrees): 8.126 8.126 13.489 90.00 90.00 120.00
Positions (direct):
Br: 0.958 0.337 0.130
Br: 0.621 0.958 0.870
Th: 0.667 0.333 0.250
Br: 0.337 0.379 0.870
Tl: 0.000 0.000 0.000
Br: 0.042 0.663 0.870
Br: 0.337 0.958 0.630
Th: 0.333 0.667 0.750
Br: 0.663 0.621 0.130
Br: 0.958 0.621 0.370
Br: 0.379 0.042 0.130
Br: 0.042 0.379 0.630
In: 0.333 0.667 0.250
In: 0.667 0.333 0.750
Tl: 0.000 0.000 0.500
Br: 0.621 0.663 0.630
Br: 0.663 0.042 0.370
Br: 0.379 0.337 0.370

Properties
Formation energy from raw total energies = -128.0 kJ per mole of atoms
Crystal system = trigonal


no.,ρ (g cm⁻³)
1,4.221
2,4.437